1.
The following is a GGA-PBE calculation of a relaxed structure of TlAgF3, from the Alexandria database.

Values from the calculation:
Energy relative to the elements, uncorrected, eV/atom: -1.280
Magnetization, μB per formula unit: 0.00
Offset from the most stable computed form, eV per atom: 0.224
Space group: Pm-3m (221)

Unit cell a=4.594 b=4.594 c=4.594 alpha=90.00 beta=90.00 gamma=90.00
Element x y z (fractional)
Tl1 0.000 0.000 0.000
Ag1 0.500 0.500 0.500
F1 0.000 0.000 0.500
F2 0.000 0.500 0.000
F3 0.500 0.000 0.000

2.
The following is a GGA-PBE calculation of a relaxed structure of TlAgF3, from the Alexandria database.

Values from the calculation:
Energy relative to the elements, uncorrected, eV/atom: -1.443
Magnetization, μB per formula unit: 0.00
Offset from the most stable computed form, eV per atom: 0.061
Space group: P2_1/m (11)

Unit cell a=4.281 b=5.752 c=6.649 alpha=90.00 beta=90.14 gamma=90.00
Element x y z (fractional)
Tl1 0.249 0.250 0.354
Tl2 0.751 0.750 0.646
Ag1 0.252 0.250 0.937
Ag2 0.748 0.750 0.063
F1 0.248 0.750 0.050
F2 0.251 0.003 0.639
F3 0.251 0.497 0.639
F4 0.749 0.503 0.361
F5 0.749 0.997 0.361
F6 0.752 0.250 0.950